Crystalline Pm12PrIr4 at its relaxed geometry, computed with PBE.

The calculation puts the energy of formation at -0.27 eV/atom.

The space group is Im-3 (No. 204) and the conventional cell measures 10.4641, 10.4641 and 10.4641 Å, with angles of 90.00, 90.00 and 90.00 degrees. The asymmetric unit holds Pm at (0.0000, 0.1742, 0.3158), Pr at (0.0000, 0.0000, 0.0000) and Ir at (0.2500, 0.2500, 0.2500).